! Ta2InIrS, relaxed, DFT GGA-PBE; values from VASP
! Space-group type: P4/mmm
! Uncorrected formation energy (eV/atom): 2.40
&SYSTEM
  ibrav = 0, nat = 5, ntyp = 4
/
ATOMIC_SPECIES
Ta 180.95 Ta.upf
In 114.82 In.upf
Ir 192.22 Ir.upf
S 32.06 S.upf
ATOMIC_POSITIONS crystal
Ta 0.000 0.500 0.000
Ta 0.500 0.000 0.000
In 0.000 0.000 0.000
Ir 0.500 0.500 0.500
S 0.000 0.000 0.500
CELL_PARAMETERS angstrom
5.102 0.000 0.000
0.000 5.102 0.000
0.000 0.000 4.569



! Pm2TlCd, relaxed, DFT GGA-PBE; values from VASP
! Space-group type: Fm-3m
! ΔH_f (0 K) (meV/atom): -361
! E above lowest polymorph (kJ/mol of atoms): 0.00
&SYSTEM
  ibrav = 0, nat = 16, ntyp = 3
/
ATOMIC_SPECIES
Pm 145.00 Pm.upf
Tl 204.38 Tl.upf
Cd 112.41 Cd.upf
ATOMIC_POSITIONS crystal
Pm 0.250 0.250 0.250
Pm 0.250 0.250 0.750
Pm 0.250 0.750 0.250
Pm 0.250 0.750 0.750
Pm 0.750 0.250 0.250
Pm 0.750 0.250 0.750
Pm 0.750 0.750 0.250
Pm 0.750 0.750 0.750
Tl 0.000 0.000 0.000
Tl 0.000 0.500 0.500
Tl 0.500 0.000 0.500
Tl 0.500 0.500 0.000
Cd 0.000 0.000 0.500
Cd 0.000 0.500 0.000
Cd 0.500 0.000 0.000
Cd 0.500 0.500 0.500
CELL_PARAMETERS angstrom
7.722 0.000 0.000
0.000 7.722 0.000
0.000 0.000 7.722



! B2OsI2, relaxed, DFT GGA-PBE; values from VASP
! Space-group type: P4/mbm
! Uncorrected formation energy (eV/atom): 2.15
! E above lowest polymorph (kJ/mol of atoms): 26.73
&SYSTEM
  ibrav = 0, nat = 10, ntyp = 3
/
ATOMIC_SPECIES
B 10.81 B.upf
Os 190.23 Os.upf
I 126.90 I.upf
ATOMIC_POSITIONS crystal
B 0.184 0.316 0.000
B 0.316 0.816 0.000
B 0.684 0.184 0.000
B 0.816 0.684 0.000
Os 0.000 0.000 0.500
Os 0.500 0.500 0.500
I 0.167 0.667 0.500
I 0.333 0.167 0.500
I 0.667 0.833 0.500
I 0.833 0.333 0.500
CELL_PARAMETERS angstrom
7.383 0.000 0.000
0.000 7.383 0.000
0.000 0.000 3.340



! Sr2MgZnCu6, relaxed, DFT GGA-PBE; values from VASP
! Space-group type: P-1
! ΔH_f (0 K) (meV/atom): -57
&SYSTEM
  ibrav = 0, nat = 10, ntyp = 4
/
ATOMIC_SPECIES
Sr 87.62 Sr.upf
Mg 24.30 Mg.upf
Zn 65.41 Zn.upf
Cu 63.55 Cu.upf
ATOMIC_POSITIONS crystal
Sr 0.242 0.316 0.200
Sr 0.758 0.684 0.800
Mg 0.000 0.000 0.000
Zn 0.500 0.500 0.500
Cu 0.221 0.773 0.286
Cu 0.250 0.929 0.573
Cu 0.282 0.227 0.714
Cu 0.718 0.773 0.286
Cu 0.750 0.071 0.427
Cu 0.779 0.227 0.714
CELL_PARAMETERS angstrom
4.965 0.000 0.000
2.466 6.347 0.000
2.455 0.375 6.459



! CrMo2Rh, relaxed, DFT GGA-PBE; values from VASP
! Space-group type: R-3m
! ΔH_f (0 K) (meV/atom): 238
! E above lowest polymorph (kJ/mol of atoms): 15.43
&SYSTEM
  ibrav = 0, nat = 12, ntyp = 3
/
ATOMIC_SPECIES
Cr 52.00 Cr.upf
Mo 95.94 Mo.upf
Rh 102.91 Rh.upf
ATOMIC_POSITIONS crystal
Cr 0.000 0.000 0.000
Cr 0.333 0.667 0.667
Cr 0.667 0.333 0.333
Mo 0.000 0.000 0.250
Mo 0.000 0.000 0.750
Mo 0.333 0.667 0.416
Mo 0.333 0.667 0.917
Mo 0.667 0.333 0.083
Mo 0.667 0.333 0.584
Rh 0.000 0.000 0.500
Rh 0.333 0.667 0.167
Rh 0.667 0.333 0.833
CELL_PARAMETERS angstrom
2.747 0.000 0.000
-1.374 2.379 0.000
0.000 0.000 27.017



! K2ZrRh, relaxed, DFT GGA-PBE; values from VASP
! Space-group type: Cmmm
! ΔH_f (0 K) (meV/atom): 838
! E above lowest polymorph (kJ/mol of atoms): 69.90
&SYSTEM
  ibrav = 0, nat = 8, ntyp = 3
/
ATOMIC_SPECIES
K 39.10 K.upf
Zr 91.22 Zr.upf
Rh 102.91 Rh.upf
ATOMIC_POSITIONS crystal
K 0.000 0.000 0.211
K 0.000 0.000 0.789
K 0.500 0.500 0.211
K 0.500 0.500 0.789
Zr 0.000 0.500 0.500
Zr 0.500 0.000 0.500
Rh 0.000 0.500 0.000
Rh 0.500 0.000 0.000
CELL_PARAMETERS angstrom
3.213 0.000 0.000
0.000 5.180 0.000
0.000 0.000 12.364



! Li3ThSc2Se6, relaxed, DFT GGA-PBE; values from VASP
! Space-group type: C2/m
! Uncorrected formation energy (eV/atom): -1.56
&SYSTEM
  ibrav = 0, nat = 12, ntyp = 4
/
ATOMIC_SPECIES
Li 6.94 Li.upf
Th 232.04 Th.upf
Sc 44.96 Sc.upf
Se 78.96 Se.upf
ATOMIC_POSITIONS crystal
Li 0.000 0.000 0.000
Li 0.335 0.665 0.000
Li 0.665 0.335 0.000
Th 0.500 0.500 0.500
Sc 0.167 0.833 0.500
Sc 0.833 0.167 0.500
Se 0.066 0.416 0.249
Se 0.235 0.235 0.753
Se 0.416 0.066 0.249
Se 0.584 0.934 0.751
Se 0.765 0.765 0.247
Se 0.934 0.584 0.751
CELL_PARAMETERS angstrom
3.428 -5.941 0.000
3.428 5.941 0.000
-2.291 0.000 6.498



! NdAlTe3, relaxed, DFT GGA-PBE; values from VASP
! Space-group type: Pnma
! Uncorrected formation energy (eV/atom): -0.87
! E above lowest polymorph (kJ/mol of atoms): 0.00
&SYSTEM
  ibrav = 0, nat = 20, ntyp = 3
/
ATOMIC_SPECIES
Nd 144.24 Nd.upf
Al 26.98 Al.upf
Te 127.60 Te.upf
ATOMIC_POSITIONS crystal
Nd 0.120 0.250 0.045
Nd 0.380 0.750 0.545
Nd 0.620 0.250 0.455
Nd 0.880 0.750 0.955
Al 0.000 0.000 0.500
Al 0.000 0.500 0.500
Al 0.500 0.000 0.000
Al 0.500 0.500 0.000
Te 0.017 0.750 0.367
Te 0.174 0.555 0.825
Te 0.174 0.945 0.825
Te 0.326 0.055 0.325
Te 0.326 0.445 0.325
Te 0.483 0.250 0.867
Te 0.517 0.750 0.133
Te 0.674 0.555 0.675
Te 0.674 0.945 0.675
Te 0.826 0.055 0.175
Te 0.826 0.445 0.175
Te 0.983 0.250 0.633
CELL_PARAMETERS angstrom
7.985 0.000 0.000
0.000 10.345 0.000
0.000 0.000 7.251



! SrPm3Ho2Te6, relaxed, DFT GGA-PBE; values from VASP
! Space-group type: C2/m
! Uncorrected formation energy (eV/atom): -1.39
&SYSTEM
  ibrav = 0, nat = 12, ntyp = 4
/
ATOMIC_SPECIES
Sr 87.62 Sr.upf
Pm 145.00 Pm.upf
Ho 164.93 Ho.upf
Te 127.60 Te.upf
ATOMIC_POSITIONS crystal
Sr 0.000 0.000 0.000
Pm 0.000 0.000 0.500
Pm 0.339 0.339 0.183
Pm 0.661 0.661 0.817
Ho 0.331 0.331 0.661
Ho 0.669 0.669 0.339
Te 0.168 0.168 0.574
Te 0.172 0.172 0.089
Te 0.494 0.494 0.742
Te 0.506 0.506 0.258
Te 0.828 0.828 0.911
Te 0.832 0.832 0.426
CELL_PARAMETERS angstrom
9.740 -2.218 0.000
9.740 2.218 0.000
-2.188 0.000 8.716



! Li3OF2, relaxed, DFT GGA-PBE; values from VASP
! Space-group type: C2/c
! Uncorrected formation energy (eV/atom): -2.27
&SYSTEM
  ibrav = 0, nat = 12, ntyp = 3
/
ATOMIC_SPECIES
Li 6.94 Li.upf
O 16.00 O.upf
F 19.00 F.upf
ATOMIC_POSITIONS crystal
Li 0.000 0.500 0.000
Li 0.152 0.320 0.496
Li 0.320 0.152 0.996
Li 0.500 0.000 0.500
Li 0.680 0.848 0.004
Li 0.848 0.680 0.504
O 0.426 0.574 0.250
O 0.574 0.426 0.750
F 0.089 0.911 0.250
F 0.250 0.750 0.750
F 0.750 0.250 0.250
F 0.911 0.089 0.750
CELL_PARAMETERS angstrom
2.605 -4.365 0.000
2.605 4.365 0.000
-1.447 0.000 4.578



Number 1: total energy -5.49 eV per atom, magnetic moment 0.000 Bohr magnetons per cell, density 9.79 g cm⁻³. Number 2: total energy -3.56 eV per atom, magnetic moment 2.147 Bohr magnetons per cell, density 8.75 g cm⁻³. Number 3: total energy -3.39 eV per atom, magnetic moment 0.000 Bohr magnetons per cell, density 8.49 g cm⁻³. Number 4: total energy -3.14 eV per atom, magnetic moment 0.000 Bohr magnetons per cell, density 5.27 g cm⁻³. Number 5: total energy -9.42 eV per atom, magnetic moment 5.319 Bohr magnetons per cell, density 9.78 g cm⁻³. Number 6: total energy -3.69 eV per atom, magnetic moment 0.836 Bohr magnetons per cell, density 4.40 g cm⁻³. Number 7: total energy -5.45 eV per atom, magnetic moment 0.000 Bohr magnetons per cell, density 5.12 g cm⁻³. Number 8: total energy -4.46 eV per atom, magnetic moment 0.000 Bohr magnetons per cell, density 6.14 g cm⁻³. Number 9: total energy -5.05 eV per atom, magnetic moment 0.000 Bohr magnetons per cell, density 7.13 g cm⁻³. Number 10: total energy -4.67 eV per atom, magnetic moment 2.000 Bohr magnetons per cell, density 2.39 g cm⁻³.